La2Sn3PdRh4 | Alexandria via LeMat-Bulk | PBE-GGA | optimized geometry; density of states at the Fermi level = 0.57 states/eV per atom; total magnetization = 0.00 μB per formula unit; formation enthalpy at 0 K = -16.225 kcal/mol of atoms; raw total energy = -6.35 eV/atom; symmetry = P-4m2
1.0
4.1368 0.0000 0.0000
0.0000 4.1368 0.0000
0.0000 0.0000 12.4834
La Sn Pd Rh
2 3 1 4
direct
0.0000 0.5000 0.2191
0.5000 0.0000 0.7809
0.0000 0.0000 0.0000
0.0000 0.5000 0.6280
0.5000 0.0000 0.3720
0.5000 0.5000 0.0000
0.0000 0.0000 0.5000
0.0000 0.5000 0.8395
0.5000 0.0000 0.1605
0.5000 0.5000 0.5000


AcBeNiGe2 | Alexandria via LeMat-Bulk | PBE-GGA | optimized geometry; density of states at the Fermi level = 0.40 states/eV per atom; total magnetization = 0.00 μB per formula unit; formation enthalpy at 0 K = -11.664 kcal/mol of atoms; raw total energy = -5.08 eV/atom; symmetry = I-4m2
1.0
4.2175 0.0000 0.0000
0.0000 4.2175 0.0000
0.0000 0.0000 10.3045
Ac Be Ni Ge
2 2 2 4
direct
0.0000 0.0000 0.0000
0.5000 0.5000 0.5000
0.0000 0.5000 0.7500
0.5000 0.0000 0.2500
0.0000 0.5000 0.2500
0.5000 0.0000 0.7500
0.0000 0.0000 0.3638
0.0000 0.0000 0.6362
0.5000 0.5000 0.1362
0.5000 0.5000 0.8638